No. 1
## BaMgNF2 (GGA-PBE)

Data for a relaxed structure of BaMgNF2. Values from VASP.

```
&SYSTEM
  ibrav = 0, nat = 5, ntyp = 4
/
ATOMIC_SPECIES
Mg 24.30 Mg.upf
N 14.01 N.upf
Ba 137.33 Ba.upf
F 19.00 F.upf
CELL_PARAMETERS angstrom
4.063 0.000 0.000
0.000 4.063 0.000
0.000 0.000 4.437
ATOMIC_POSITIONS crystal
Mg 0.000 0.000 0.000
N 0.000 0.000 0.500
Ba 0.500 0.500 0.500
F 0.000 0.500 0.000
F 0.500 0.000 0.000
```

Calculated values
M_tot ... 1.00 μB/cell
Offset from the most stable computed form ... 0 meV/atom
ΔE_f (raw) ... -2.20 eV/atom
Crystal system ... tetragonal
Theoretical density ... 4.8 g/cm³


No. 2
## BaMgNF2 (GGA-PBE)

Data for a relaxed structure of BaMgNF2. Values from VASP.

```
&SYSTEM
  ibrav = 0, nat = 5, ntyp = 4
/
ATOMIC_SPECIES
Mg 24.30 Mg.upf
N 14.01 N.upf
Ba 137.33 Ba.upf
F 19.00 F.upf
CELL_PARAMETERS angstrom
4.869 0.000 0.000
0.000 4.869 0.000
0.000 0.000 4.944
ATOMIC_POSITIONS crystal
Mg 0.500 0.500 0.500
N 0.000 0.000 0.500
Ba 0.000 0.000 0.000
F 0.000 0.500 0.000
F 0.500 0.000 0.000
```

Calculated values
M_tot ... 0.02 μB/cell
Offset from the most stable computed form ... 1226 meV/atom
ΔE_f (raw) ... -0.98 eV/atom
Crystal system ... tetragonal
Theoretical density ... 3.0 g/cm³


No. 3
## Ba2NaMgF6 (GGA-PBE)

Data for a relaxed structure of Ba2NaMgF6. Values from VASP.

```
&SYSTEM
  ibrav = 0, nat = 20, ntyp = 4
/
ATOMIC_SPECIES
Ba 137.33 Ba.upf
Na 22.99 Na.upf
Mg 24.30 Mg.upf
F 19.00 F.upf
CELL_PARAMETERS angstrom
6.042 0.000 0.000
0.000 6.043 0.000
0.000 0.000 8.623
ATOMIC_POSITIONS crystal
Ba 0.500 0.750 0.250
Ba 0.000 0.250 0.750
Ba 0.500 0.750 0.750
Ba 0.000 0.250 0.250
Na 0.000 0.750 0.500
Na 0.500 0.250 0.000
Mg 0.500 0.250 0.500
Mg 0.000 0.750 0.000
F 0.500 0.250 0.265
F 0.500 0.250 0.735
F 0.000 0.750 0.235
F 0.000 0.750 0.765
F 0.265 0.014 0.500
F 0.735 0.014 0.500
F 0.264 0.485 0.500
F 0.736 0.485 0.500
F 0.764 0.515 0.000
F 0.236 0.515 0.000
F 0.235 0.986 0.000
F 0.765 0.986 0.000
```

Calculated values
M_tot ... 0.00 μB/cell
ΔE_f (raw) ... -3.21 eV/atom
Crystal system ... tetragonal
Theoretical density ... 4.6 g/cm³


No. 4
## BaNaMgF6 (GGA-PBE)

Data for a relaxed structure of BaNaMgF6. Values from VASP.

```
&SYSTEM
  ibrav = 0, nat = 18, ntyp = 4
/
ATOMIC_SPECIES
Ba 137.33 Ba.upf
Na 22.99 Na.upf
Mg 24.30 Mg.upf
F 19.00 F.upf
CELL_PARAMETERS angstrom
-6.363 2.345 1.990
1.099 -2.809 6.822
4.746 4.698 -2.908
ATOMIC_POSITIONS crystal
Ba 0.907 0.657 0.815
Ba 0.093 0.343 0.185
Na 0.500 0.500 0.000
Na 0.500 0.000 0.000
Mg 0.500 0.000 0.500
Mg 0.000 0.000 0.500
F 0.356 0.606 0.713
F 0.661 0.911 0.321
F 0.938 0.055 0.240
F 0.302 0.684 0.240
F 0.302 0.055 0.240
F 0.938 0.684 0.240
F 0.644 0.394 0.287
F 0.339 0.089 0.679
F 0.062 0.945 0.760
F 0.698 0.316 0.760
F 0.698 0.945 0.760
F 0.062 0.316 0.760
```

Calculated values
M_tot ... 2.09 μB/cell
ΔE_f (raw) ... -3.02 eV/atom
Crystal system ... orthorhombic
Theoretical density ... 3.6 g/cm³


No. 5
## Ba2NaMgF (GGA-PBE)

Data for a relaxed structure of Ba2NaMgF. Values from VASP.

```
&SYSTEM
  ibrav = 0, nat = 5, ntyp = 4
/
ATOMIC_SPECIES
Na 22.99 Na.upf
Mg 24.30 Mg.upf
Ba 137.33 Ba.upf
F 19.00 F.upf
CELL_PARAMETERS angstrom
5.848 0.000 0.000
0.000 5.848 0.000
0.000 0.000 4.914
ATOMIC_POSITIONS crystal
Na 0.000 0.000 0.500
Mg 0.500 0.500 0.500
Ba 0.000 0.500 0.000
Ba 0.500 0.000 0.000
F 0.000 0.000 0.000
```

Calculated values
M_tot ... 0.00 μB/cell
ΔE_f (raw) ... -1.07 eV/atom
Crystal system ... tetragonal
Theoretical density ... 3.4 g/cm³


No. 6
## Ba2NdMg3F12 (GGA-PBE)

Data for a relaxed structure of Ba2NdMg3F12. Values from VASP.

```
&SYSTEM
  ibrav = 0, nat = 18, ntyp = 4
/
ATOMIC_SPECIES
Ba 137.33 Ba.upf
Nd 144.24 Nd.upf
Mg 24.30 Mg.upf
F 19.00 F.upf
CELL_PARAMETERS angstrom
-5.923 2.027 -3.280
-2.405 -4.470 -4.917
-5.816 -3.598 1.781
ATOMIC_POSITIONS crystal
Ba 0.615 0.615 0.615
Ba 0.385 0.385 0.385
Nd 0.000 0.000 0.000
Mg 0.500 0.000 0.000
Mg 0.000 0.500 0.000
Mg 0.000 0.000 0.500
F 0.267 0.267 0.896
F 0.869 0.869 0.398
F 0.398 0.869 0.869
F 0.896 0.267 0.267
F 0.869 0.398 0.869
F 0.267 0.896 0.267
F 0.733 0.733 0.104
F 0.131 0.131 0.602
F 0.602 0.131 0.131
F 0.104 0.733 0.733
F 0.131 0.602 0.131
F 0.733 0.104 0.733
```

Calculated values
M_tot ... 0.80 μB/cell
ΔE_f (raw) ... -3.54 eV/atom
Crystal system ... trigonal
Theoretical density ... 4.3 g/cm³